(one)
Computed, not measured: Nb2CuO6 after structural relaxation at the PBE level of DFT.

Cell lengths 8.788, 8.788, 4.653 Å; angles 90.00, 90.00, 120.00 degrees
Fractional coordinates of all 27 atoms:
Nb 0.000 0.369 0.000
Nb 0.000 0.703 0.500
Nb 0.297 0.297 0.500
Nb 0.369 0.000 0.000
Nb 0.631 0.631 0.000
Nb 0.703 0.000 0.500
Cu 0.000 0.000 0.000
Cu 0.333 0.667 0.508
Cu 0.667 0.333 0.492
O 0.102 0.559 0.262
O 0.110 0.228 0.235
O 0.118 0.890 0.235
O 0.211 0.432 0.743
O 0.221 0.789 0.743
O 0.228 0.110 0.765
O 0.432 0.211 0.257
O 0.441 0.543 0.262
O 0.457 0.898 0.262
O 0.543 0.441 0.738
O 0.559 0.102 0.738
O 0.568 0.779 0.743
O 0.772 0.882 0.235
O 0.779 0.568 0.257
O 0.789 0.221 0.257
O 0.882 0.772 0.765
O 0.890 0.118 0.765
O 0.898 0.457 0.738

Results
space-group type: P321 (150)

=====

(two)
Computed, not measured: Nb2CuO6 after structural relaxation at the PBE level of DFT.

Cell lengths 14.374, 5.676, 5.250 Å; angles 90.00, 90.00, 90.00 degrees
Fractional coordinates of all 36 atoms:
Nb 0.160 0.184 0.199
Nb 0.160 0.816 0.699
Nb 0.340 0.316 0.699
Nb 0.340 0.684 0.199
Nb 0.660 0.316 0.801
Nb 0.660 0.684 0.301
Nb 0.840 0.184 0.301
Nb 0.840 0.816 0.801
Cu 0.000 0.328 0.750
Cu 0.000 0.672 0.250
Cu 0.500 0.172 0.250
Cu 0.500 0.828 0.750
O 0.086 0.415 0.323
O 0.086 0.585 0.823
O 0.092 0.100 0.883
O 0.092 0.900 0.383
O 0.240 0.134 0.526
O 0.240 0.866 0.026
O 0.260 0.366 0.026
O 0.260 0.634 0.526
O 0.408 0.400 0.383
O 0.408 0.600 0.883
O 0.414 0.085 0.823
O 0.414 0.915 0.323
O 0.586 0.085 0.677
O 0.586 0.915 0.177
O 0.592 0.400 0.117
O 0.592 0.600 0.617
O 0.740 0.366 0.474
O 0.740 0.634 0.974
O 0.760 0.134 0.974
O 0.760 0.866 0.474
O 0.908 0.100 0.617
O 0.908 0.900 0.117
O 0.914 0.415 0.177
O 0.914 0.585 0.677

Results
space-group type: Pbcn (60)

=====

(three)
Computed, not measured: Nb2CuO6 after structural relaxation at the PBE level of DFT.

Cell lengths 4.538, 4.538, 8.221 Å; angles 107.04, 107.04, 37.76 degrees
Fractional coordinates of all 9 atoms:
Nb 0.207 0.207 0.304
Nb 0.793 0.793 0.696
Cu 0.500 0.500 0.000
O 0.156 0.156 0.544
O 0.271 0.271 0.867
O 0.483 0.483 0.746
O 0.517 0.517 0.254
O 0.729 0.729 0.133
O 0.844 0.844 0.456

Results
space-group type: C2/m (12)

=====

Verdict on stability: (two) comes out on top.

=====

(one)
Computed, not measured: NbCu3O after structural relaxation at the PBE level of DFT.

Cell lengths 4.783, 4.783, 4.783 Å; angles 90.00, 90.00, 90.00 degrees
Fractional coordinates of all 5 atoms:
Nb 0.000 0.000 0.000
Cu 0.000 0.000 0.500
Cu 0.000 0.500 0.000
Cu 0.500 0.000 0.000
O 0.500 0.500 0.500

Results
space-group type: Pm-3m (221)

=====

(two)
Computed, not measured: NbCu3O after structural relaxation at the PBE level of DFT.

Cell lengths 4.042, 4.042, 4.042 Å; angles 90.00, 90.00, 90.00 degrees
Fractional coordinates of all 5 atoms:
Nb 0.000 0.000 0.000
Cu 0.000 0.500 0.500
Cu 0.500 0.000 0.500
Cu 0.500 0.500 0.000
O 0.500 0.500 0.500

Results
space-group type: Pm-3m (221)

=====

Verdict on stability: (two) comes out on top.

=====

(one)
Computed, not measured: NbCuPO2 after structural relaxation at the PBE level of DFT.

Cell lengths 3.718, 3.718, 4.601 Å; angles 90.00, 90.00, 90.00 degrees
Fractional coordinates of all 5 atoms:
Nb 0.000 0.000 0.000
Cu 0.500 0.500 0.500
P 0.500 0.500 0.000
O 0.000 0.500 0.500
O 0.500 0.000 0.500

Results
space-group type: P4/mmm (123)

=====

(two)
Computed, not measured: NbCuPO2 after structural relaxation at the PBE level of DFT.

Cell lengths 3.844, 3.844, 5.442 Å; angles 90.00, 90.00, 90.00 degrees
Fractional coordinates of all 5 atoms:
Nb 0.000 0.000 0.000
Cu 0.500 0.500 0.500
P 0.000 0.000 0.500
O 0.000 0.500 0.000
O 0.500 0.000 0.000

Results
space-group type: P4/mmm (123)

=====

Verdict on stability: (two) comes out on top.

=====

(one)
Computed, not measured: NbCuP2O after structural relaxation at the PBE level of DFT.

Cell lengths 4.939, 4.939, 3.849 Å; angles 90.00, 90.00, 90.00 degrees
Fractional coordinates of all 5 atoms:
Nb 0.000 0.000 0.000
Cu 0.500 0.500 0.500
P 0.000 0.500 0.000
P 0.500 0.000 0.000
O 0.000 0.000 0.500

Results
space-group type: P4/mmm (123)

=====

(two)
Computed, not measured: NbCuP2O after structural relaxation at the PBE level of DFT.

Cell lengths 4.562, 4.562, 3.543 Å; angles 90.00, 90.00, 90.00 degrees
Fractional coordinates of all 5 atoms:
Nb 0.000 0.000 0.000
Cu 0.500 0.500 0.500
P 0.000 0.500 0.500
P 0.500 0.000 0.500
O 0.500 0.500 0.000

Results
space-group type: P4/mmm (123)

=====

Verdict on stability: (one) comes out on top.

=====

(one)
Computed, not measured: NbCu2Os after structural relaxation at the PBE level of DFT.

Cell lengths 4.297, 4.297, 4.297 Å; angles 60.00, 60.00, 60.00 degrees
Fractional coordinates of all 4 atoms:
Nb 0.000 0.000 0.000
Cu 0.250 0.250 0.250
Cu 0.750 0.750 0.750
Os 0.500 0.500 0.500

Results
space-group type: Fm-3m (225)

=====

(two)
Computed, not measured: NbCu2Os after structural relaxation at the PBE level of DFT.

Cell lengths 9.767, 9.767, 9.767 Å; angles 158.50, 158.50, 30.59 degrees
Fractional coordinates of all 8 atoms:
Nb 0.000 0.000 0.000
Nb 0.750 0.250 0.500
Cu 0.145 0.625 0.020
Cu 0.375 0.395 0.520
Cu 0.605 0.125 0.980
Cu 0.875 0.855 0.480
Os 0.250 0.750 0.500
Os 0.500 0.500 0.000

Results
space-group type: I-42d (122)

=====

Verdict on stability: (one) comes out on top.

=====

(one)
Computed, not measured: NbCuOs2 after structural relaxation at the PBE level of DFT.

Cell lengths 9.279, 9.279, 9.279 Å; angles 155.93, 155.93, 34.30 degrees
Fractional coordinates of all 8 atoms:
Nb 0.000 0.000 0.000
Nb 0.750 0.250 0.500
Cu 0.250 0.750 0.500
Cu 0.500 0.500 0.000
Os 0.187 0.625 0.062
Os 0.375 0.437 0.562
Os 0.563 0.125 0.938
Os 0.875 0.813 0.438

Results
space-group type: I-42d (122)

=====

(two)
Computed, not measured: NbCuOs2 after structural relaxation at the PBE level of DFT.

Cell lengths 4.385, 4.385, 4.385 Å; angles 60.00, 60.00, 60.00 degrees
Fractional coordinates of all 4 atoms:
Nb 0.000 0.000 0.000
Cu 0.500 0.500 0.500
Os 0.250 0.250 0.250
Os 0.750 0.750 0.750

Results
space-group type: Fm-3m (225)

=====

(three)
Computed, not measured: NbCuOs2 after structural relaxation at the PBE level of DFT.

Cell lengths 3.940, 3.940, 3.779 Å; angles 90.00, 90.00, 90.00 degrees
Fractional coordinates of all 4 atoms:
Nb 0.000 0.000 0.000
Cu 0.500 0.500 0.000
Os 0.000 0.500 0.500
Os 0.500 0.000 0.500

Results
space-group type: P4/mmm (123)

=====

Verdict on stability: (three) comes out on top.